Entry 1:
VASP calculation (PBE) on an optimized crystal structure of RbHg2Se.

Cell lengths 5.427, 6.000, 10.057 Å; angles 90.00, 90.16, 90.00 degrees
Element x y z (fractional)
Rb 0.604 0.000 0.106
Rb 0.604 0.500 0.606
Hg 0.105 0.000 0.781
Hg 0.105 0.500 0.281
Hg 0.114 0.000 0.444
Hg 0.114 0.500 0.944
Se 0.614 0.000 0.445
Se 0.614 0.500 0.945

Uncorrected formation energy (eV/atom): -0.460
D(E_F) (states/eV/f.u.): 0.065

Entry 2:
VASP calculation (PBE) on an optimized crystal structure of RbHg2Se.

Cell lengths 4.691, 4.691, 9.635 Å; angles 75.91, 75.91, 60.00 degrees
Element x y z (fractional)
Hg 0.878 0.878 0.367
Hg 0.122 0.122 0.633
Rb 0.000 0.000 0.000
Se 0.500 0.500 0.500

Uncorrected formation energy (eV/atom): -0.031
D(E_F) (states/eV/f.u.): 3.222